Entry 1:
Computed, not measured: a geometry-optimized MgTcIrRh structure at the GGA-PBE level of DFT.

size of the total moment = 0.68 μB/atom
energy = -7.050 eV per atom
calculated volume = 15.1 Å³/atom
energy relative to the elements = -0.01 eV per atom

Cell and atoms, written as CIF:
```
data_MgTcIrRh
_chemical_formula_sum 'Mg4 Tc4 Ir4 Rh4'
_space_group_name_H-M_alt 'F -4 3 m'
_space_group_IT_number 216
_space_group_name_Hall 'F -4 2 3'
_cell_length_a 6.2346
_cell_length_b 6.2346
_cell_length_c 6.2346
_cell_angle_alpha 90.00
_cell_angle_beta 90.00
_cell_angle_gamma 90.00
loop_
_atom_site_label
_atom_site_type_symbol
_atom_site_fract_x
_atom_site_fract_y
_atom_site_fract_z
Mg1 Mg 0.0000 0.0000 0.0000
Tc1 Tc 0.0000 0.0000 0.5000
Ir1 Ir 0.2500 0.2500 0.7500
Rh1 Rh 0.2500 0.2500 0.2500
```

---

Entry 2:
Computed, not measured: a geometry-optimized ThMgIrRh structure at the GGA-PBE level of DFT.

energy above the lowest structure with this stoichiometry = 0.000 eV per atom
size of the total moment = 0.00 μB/atom
energy = -7.019 eV per atom
calculated volume = 19.2 Å³/atom
energy relative to the elements = -0.71 eV per atom

Cell and atoms, written as CIF:
```
data_ThMgIrRh
_chemical_formula_sum 'Th1 Mg1 Ir1 Rh1'
_space_group_name_H-M_alt 'P m m m'
_space_group_IT_number 47
_space_group_name_Hall '-P 2 2'
_cell_length_a 3.7096
_cell_length_b 4.5164
_cell_length_c 4.5810
_cell_angle_alpha 90.00
_cell_angle_beta 90.00
_cell_angle_gamma 90.00
loop_
_atom_site_label
_atom_site_type_symbol
_atom_site_fract_x
_atom_site_fract_y
_atom_site_fract_z
Th1 Th 0.0000 0.0000 0.0000
Mg1 Mg 0.0000 0.5000 0.5000
Ir1 Ir 0.5000 0.5000 0.0000
Rh1 Rh 0.5000 0.0000 0.5000
```

---

Entry 3:
Computed, not measured: a geometry-optimized ThMgIrRh structure at the GGA-PBE level of DFT.

energy above the lowest structure with this stoichiometry = 0.045 eV per atom
size of the total moment = 0.00 μB/atom
energy = -6.974 eV per atom
calculated volume = 19.5 Å³/atom
energy relative to the elements = -0.67 eV per atom

Cell and atoms, written as CIF:
```
data_ThMgIrRh
_chemical_formula_sum 'Th4 Mg4 Ir4 Rh4'
_space_group_name_H-M_alt 'F -4 3 m'
_space_group_IT_number 216
_space_group_name_Hall 'F -4 2 3'
_cell_length_a 6.7865
_cell_length_b 6.7865
_cell_length_c 6.7865
_cell_angle_alpha 90.00
_cell_angle_beta 90.00
_cell_angle_gamma 90.00
loop_
_atom_site_label
_atom_site_type_symbol
_atom_site_fract_x
_atom_site_fract_y
_atom_site_fract_z
Th1 Th 0.0000 0.0000 0.0000
Mg1 Mg 0.0000 0.0000 0.5000
Ir1 Ir 0.2500 0.2500 0.2500
Rh1 Rh 0.2500 0.2500 0.7500
```

---

Entry 4:
Computed, not measured: a geometry-optimized Th2MgIrRh5 structure at the GGA-PBE level of DFT.

size of the total moment = 0.00 μB/atom
energy = -7.034 eV per atom
calculated volume = 20.4 Å³/atom
energy relative to the elements = -0.14 eV per atom

Cell and atoms, written as CIF:
```
data_Th2MgIrRh5
_chemical_formula_sum 'Th8 Mg4 Ir4 Rh20'
_space_group_name_H-M_alt 'I 4/m c m'
_space_group_IT_number 140
_space_group_name_Hall '-I 4 2c'
_cell_length_a 8.4523
_cell_length_b 8.4523
_cell_length_c 10.2677
_cell_angle_alpha 90.00
_cell_angle_beta 90.00
_cell_angle_gamma 90.00
loop_
_atom_site_label
_atom_site_type_symbol
_atom_site_fract_x
_atom_site_fract_y
_atom_site_fract_z
Th1 Th 0.1412 0.3588 0.0000
Mg1 Mg 0.0000 0.0000 0.2500
Ir1 Ir 0.0000 0.5000 0.2500
Rh1 Rh 0.0000 0.0000 0.0000
Rh2 Rh 0.1876 0.3124 0.3601
```

---

Entry 5:
Computed, not measured: a geometry-optimized MgTlIrRh structure at the GGA-PBE level of DFT.

size of the total moment = 0.00 μB/atom
energy = -5.134 eV per atom
calculated volume = 16.7 Å³/atom
energy relative to the elements = -0.09 eV per atom

Cell and atoms, written as CIF:
```
data_MgTlIrRh
_chemical_formula_sum 'Mg4 Tl4 Ir4 Rh4'
_space_group_name_H-M_alt 'F -4 3 m'
_space_group_IT_number 216
_space_group_name_Hall 'F -4 2 3'
_cell_length_a 6.4414
_cell_length_b 6.4414
_cell_length_c 6.4414
_cell_angle_alpha 90.00
_cell_angle_beta 90.00
_cell_angle_gamma 90.00
loop_
_atom_site_label
_atom_site_type_symbol
_atom_site_fract_x
_atom_site_fract_y
_atom_site_fract_z
Mg1 Mg 0.0000 0.0000 0.0000
Tl1 Tl 0.0000 0.0000 0.5000
Ir1 Ir 0.2500 0.2500 0.2500
Rh1 Rh 0.2500 0.2500 0.7500
```

---

Entry 6:
Computed, not measured: a geometry-optimized YMgIr2Rh structure at the GGA-PBE level of DFT.

size of the total moment = 0.22 μB/atom
energy = -5.299 eV per atom
calculated volume = 24.3 Å³/atom
energy relative to the elements = 1.33 eV per atom

Cell and atoms, written as CIF:
```
data_YMgIr2Rh
_chemical_formula_sum 'Y1 Mg1 Ir2 Rh1'
_space_group_name_H-M_alt 'P 4/m m m'
_space_group_IT_number 123
_space_group_name_Hall '-P 4 2'
_cell_length_a 4.9973
_cell_length_b 4.9973
_cell_length_c 4.8700
_cell_angle_alpha 90.00
_cell_angle_beta 90.00
_cell_angle_gamma 90.00
loop_
_atom_site_label
_atom_site_type_symbol
_atom_site_fract_x
_atom_site_fract_y
_atom_site_fract_z
Y1 Y 0.0000 0.0000 0.0000
Mg1 Mg 0.5000 0.5000 0.5000
Ir1 Ir 0.0000 0.5000 0.0000
Rh1 Rh 0.0000 0.0000 0.5000
```